18
Lattice="6.1741 0.0000 0.0000 0.0000 9.6498 0.0000 0.0000 0.0000 9.6498" Properties=species:S:1:pos:R:3 comment="AcCe4Pb4 (GGA-PBE, relaxed)" rho_kg_m3=9336 volume_a3_per_atom=31.94 final_energy_ev_per_atom=-4.941 pbc="T T T"
Ac 0.0000 0.0000 0.0000
Ac 3.0871 4.8249 4.8249
Ce 2.3383 4.2003 8.4241
Ce 5.4253 6.0506 9.0252
Ce 2.3383 5.4495 1.2257
Ce 0.7488 0.6246 6.0506
Ce 3.8358 8.4241 5.4495
Ce 0.7488 9.0252 3.5992
Ce 5.4253 3.5992 0.6246
Ce 3.8358 1.2257 4.2003
Pb 3.6304 8.4054 2.0270
Pb 3.6304 1.2444 7.6228
Pb 0.5433 6.8519 6.0693
Pb 5.6308 3.5805 6.8519
Pb 5.6308 6.0693 2.7979
Pb 2.5437 2.0270 1.2444
Pb 2.5437 7.6228 8.4054
Pb 0.5433 2.7979 3.5805


4
Lattice="7.2185 -0.0102 0.0850 6.6520 2.8031 0.0850 1.5918 0.3205 4.5765" Properties=species:S:1:pos:R:3 comment="InReHg2 (GGA-PBE, relaxed)" rho_kg_m3=12604 volume_a3_per_atom=23.13 final_energy_ev_per_atom=-3.382 pbc="T T T"
Hg 13.0702 2.6317 0.4648
Hg 11.5969 2.3350 3.5590
In 8.5503 1.7216 2.0736
Re 3.8467 0.7745 1.1925


4
Lattice="8.0909 -0.0281 -0.0169 7.0571 3.9575 -0.0169 7.0571 1.8306 3.5087" Properties=species:S:1:pos:R:3 comment="KTe2Ru (GGA-PBE, relaxed)" de_polymorph_ev_per_atom=0.000 rho_kg_m3=5782 volume_a3_per_atom=28.39 final_energy_ev_per_atom=-4.534 formation_energy_uncorrected_ev_per_atom=-0.37 pbc="T T T"
K 5.5513 1.4400 0.8687
Ru 16.6538 4.3200 2.6061
Te 0.6061 0.1572 0.0949
Te 10.4964 2.7228 1.6425